[1]
DFT (GGA-PBE) results for a relaxed Sr2GdReO6 crystal.

Cell lengths 5.9434, 5.9434, 5.9434 Å; angles 60.00, 60.00, 60.00 degrees
Last column: nearest neighbours and their distance in Å.
Element x y z (fractional)
Sr1 0.2500 0.2500 0.2500  12 O 2.97
Sr2 0.7500 0.7500 0.7500  12 O 2.97
Gd1 0.0000 0.0000 0.0000  6 O 2.24
Re1 0.5000 0.5000 0.5000  6 O 1.97
O1 0.2660 0.2660 0.7340  1 Re 1.97
O2 0.2660 0.7340 0.2660  1 Re 1.97
O3 0.2660 0.7340 0.7340  1 Re 1.97
O4 0.7340 0.2660 0.2660  1 Re 1.97
O5 0.7340 0.2660 0.7340  1 Re 1.97
O6 0.7340 0.7340 0.2660  1 Re 1.97

Values from the calculation:
SG	No. 225
D(E_F)	0.407	states/eV/atom

---

[2]
DFT (GGA-PBE) results for a relaxed GdRhO3 crystal.

Cell lengths 3.9554, 3.9554, 3.9554 Å; angles 90.00, 90.00, 90.00 degrees
Last column: nearest neighbours and their distance in Å.
Element x y z (fractional)
Gd1 0.0000 0.0000 0.0000  12 O 2.80
Rh1 0.5000 0.5000 0.5000  6 O 1.98
O1 0.0000 0.5000 0.5000  2 Rh 1.98
O2 0.5000 0.0000 0.5000  2 Rh 1.98
O3 0.5000 0.5000 0.0000  2 Rh 1.98

Values from the calculation:
SG	No. 221
D(E_F)	0.544	states/eV/atom

---

[3]
DFT (GGA-PBE) results for a relaxed Gd4Rh2O crystal.

Cell lengths 4.6585, 4.6585, 14.4427 Å; angles 90.00, 90.00, 90.00 degrees
Last column: nearest neighbours and their distance in Å.
Element x y z (fractional)
Gd1 0.0000 0.0000 0.1859  1 Rh 2.66, 1 O 2.68
Gd2 0.0000 0.0000 0.8141  1 Rh 2.66, 1 O 2.68
Gd3 0.0000 0.5000 0.0000  2 O 2.33
Gd4 0.0000 0.5000 0.5000  2 O 2.33
Gd5 0.5000 0.0000 0.0000  2 O 2.33
Gd6 0.5000 0.0000 0.5000  2 O 2.33
Gd7 0.5000 0.5000 0.3141  1 Rh 2.66, 1 O 2.68
Gd8 0.5000 0.5000 0.6859  1 Rh 2.66, 1 O 2.68
Rh1 0.0000 0.0000 0.3701  1 Gd 2.66
Rh2 0.0000 0.0000 0.6299  1 Gd 2.66
Rh3 0.5000 0.5000 0.1299  1 Gd 2.66
Rh4 0.5000 0.5000 0.8701  1 Gd 2.66
O1 0.0000 0.0000 0.0000  4 Gd 2.33
O2 0.5000 0.5000 0.5000  4 Gd 2.33

Values from the calculation:
SG	No. 139
D(E_F)	0.897	states/eV/atom

---

[4]
DFT (GGA-PBE) results for a relaxed Gd3RuO7 crystal.

Cell lengths 6.4879, 6.4879, 7.4851 Å; angles 90.00, 90.00, 69.39 degrees
Last column: nearest neighbours and their distance in Å.
Element x y z (fractional)
Gd1 0.0000 0.0000 0.0000  4 O 2.35
Gd2 0.0000 0.0000 0.5000  4 O 2.35
Gd3 0.0735 0.4783 0.7500  6 O 2.24-2.40
Gd4 0.4783 0.0735 0.2500  6 O 2.24-2.40
Gd5 0.5217 0.9265 0.7500  6 O 2.24-2.40
Gd6 0.9265 0.5217 0.2500  6 O 2.24-2.40
Ru1 0.5000 0.5000 0.0000  6 O 1.97-1.98
Ru2 0.5000 0.5000 0.5000  6 O 1.97-1.98
O1 0.1083 0.1568 0.2500  4 Gd 2.24-2.35
O2 0.1568 0.1083 0.7500  4 Gd 2.24-2.35
O3 0.1829 0.5618 0.0388  1 Ru 1.97
O4 0.1829 0.5618 0.4612  1 Ru 1.97
O5 0.4133 0.5867 0.7500  2 Ru 1.98
O6 0.4382 0.8171 0.0388  1 Ru 1.97
O7 0.4382 0.8171 0.4612  1 Ru 1.97
O8 0.5618 0.1829 0.5388  1 Ru 1.97
O9 0.5618 0.1829 0.9612  1 Ru 1.97
O10 0.5867 0.4133 0.2500  2 Ru 1.98
O11 0.8171 0.4382 0.5388  1 Ru 1.97
O12 0.8171 0.4382 0.9612  1 Ru 1.97
O13 0.8432 0.8917 0.2500  4 Gd 2.24-2.35
O14 0.8917 0.8432 0.7500  4 Gd 2.24-2.35

Values from the calculation:
SG	No. 63
D(E_F)	0.022	states/eV/atom

---

[5]
DFT (GGA-PBE) results for a relaxed Gd2S2O crystal.

Cell lengths 8.3779, 7.0299, 6.9413 Å; angles 90.00, 99.05, 90.00 degrees
Last column: nearest neighbours and their distance in Å.
Element x y z (fractional)
Gd1 0.0776 0.1403 0.3171  3 O 2.29-2.32
Gd2 0.0776 0.3597 0.8171  3 O 2.29-2.32
Gd3 0.3622 0.5547 0.2496  1 O 2.29
Gd4 0.3622 0.9453 0.7496  1 O 2.29
Gd5 0.6378 0.0547 0.2504  1 O 2.29
Gd6 0.6378 0.4453 0.7504  1 O 2.29
Gd7 0.9224 0.6403 0.1829  3 O 2.29-2.32
Gd8 0.9224 0.8597 0.6829  3 O 2.29-2.32
S1 0.1785 0.6388 0.5712  4 Gd 2.82-2.96
S2 0.1785 0.8612 0.0712  4 Gd 2.82-2.96
S3 0.4233 0.2243 0.4702  5 Gd 2.78-2.98
S4 0.4233 0.2757 0.9702  5 Gd 2.78-2.98
S5 0.5767 0.7243 0.0298  5 Gd 2.78-2.98
S6 0.5767 0.7757 0.5298  5 Gd 2.78-2.98
S7 0.8215 0.1388 0.9288  4 Gd 2.82-2.96
S8 0.8215 0.3612 0.4288  4 Gd 2.82-2.96
O1 0.1174 0.0872 0.6492  4 Gd 2.29-2.32
O2 0.1174 0.4128 0.1492  4 Gd 2.29-2.32
O3 0.8826 0.5872 0.8508  4 Gd 2.29-2.32
O4 0.8826 0.9128 0.3508  4 Gd 2.29-2.32

Values from the calculation:
SG	No. 14
D(E_F)	0.000	states/eV/atom

---

[6]
DFT (GGA-PBE) results for a relaxed Gd2SO crystal.

Cell lengths 4.0338, 4.0338, 21.7920 Å; angles 90.00, 90.00, 120.00 degrees
Last column: nearest neighbours and their distance in Å.
Element x y z (fractional)
Gd1 0.0000 0.0000 0.0942  1 O 2.05
Gd2 0.0000 0.0000 0.9058  1 O 2.05
Gd3 0.3333 0.6667 0.5724  1 O 2.05
Gd4 0.3333 0.6667 0.7609  1 O 2.05
Gd5 0.6667 0.3333 0.2391  1 O 2.05
Gd6 0.6667 0.3333 0.4276  1 O 2.05
S1 0.0000 0.0000 0.5000  6 Gd 2.81
S2 0.3333 0.6667 0.1667  6 Gd 2.81
S3 0.6667 0.3333 0.8333  6 Gd 2.81
O1 0.0000 0.0000 0.0000  2 Gd 2.05
O2 0.3333 0.6667 0.6667  2 Gd 2.05
O3 0.6667 0.3333 0.3333  2 Gd 2.05

Values from the calculation:
SG	No. 166
D(E_F)	0.480	states/eV/atom

---

[7]
DFT (GGA-PBE) results for a relaxed Gd4Si2S3O7 crystal.

Cell lengths 10.8866, 10.8866, 10.8866 Å; angles 114.04, 114.04, 100.67 degrees
Last column: nearest neighbours and their distance in Å.
Element x y z (fractional)
Gd1 0.0468 0.2968 0.0935  6 O 2.43-2.57
Gd2 0.0468 0.9532 0.7500  6 O 2.43-2.57
Gd3 0.1715 0.6572 0.5143  3 O 2.34-2.48
Gd4 0.2968 0.0468 0.5935  6 O 2.43-2.57
Gd5 0.2968 0.7032 0.2500  6 O 2.43-2.57
Gd6 0.3428 0.3571 0.5143  3 O 2.34-2.48
Gd7 0.3428 0.8285 0.9857  3 O 2.34-2.48
Gd8 0.3571 0.3428 0.0143  3 O 2.34-2.48
Gd9 0.6429 0.6572 0.9857  3 O 2.34-2.48
Gd10 0.6572 0.1715 0.0143  3 O 2.34-2.48
Gd11 0.6572 0.6429 0.4857  3 O 2.34-2.48
Gd12 0.7032 0.2968 0.7500  6 O 2.43-2.57
Gd13 0.7032 0.9532 0.4065  6 O 2.43-2.57
Gd14 0.8285 0.3428 0.4857  3 O 2.34-2.48
Gd15 0.9532 0.0468 0.2500  6 O 2.43-2.57
Gd16 0.9532 0.7032 0.9065  6 O 2.43-2.57
Si1 0.0969 0.2223 0.6253  4 O 1.64-1.66
Si2 0.0969 0.4716 0.8747  4 O 1.64-1.66
Si3 0.2223 0.0969 0.1253  4 O 1.64-1.66
Si4 0.4716 0.0969 0.3747  4 O 1.64-1.66
Si5 0.5284 0.9031 0.6253  4 O 1.64-1.66
Si6 0.7777 0.9031 0.8747  4 O 1.64-1.66
Si7 0.9031 0.5284 0.1253  4 O 1.64-1.66
Si8 0.9031 0.7777 0.3747  4 O 1.64-1.66
S1 0.0000 0.3531 0.3531  4 Gd 2.80-2.91, 2 O 3.09
S2 0.0000 0.6469 0.6469  4 Gd 2.80-2.91, 2 O 3.09
S3 0.1250 0.8750 0.2500  4 Gd 2.88, 8 O 3.20
S4 0.3531 0.0000 0.8531  4 Gd 2.80-2.91, 2 O 3.09
S5 0.3531 0.5000 0.3531  4 Gd 2.80-2.91, 2 O 3.09
S6 0.3750 0.6250 0.7500  4 Gd 2.83, 2 O 3.15
S7 0.5000 0.3531 0.8531  4 Gd 2.80-2.91, 2 O 3.09
S8 0.5000 0.6469 0.1469  4 Gd 2.80-2.91, 2 O 3.09
S9 0.6250 0.3750 0.2500  4 Gd 2.83, 2 O 3.15
S10 0.6469 0.0000 0.1469  4 Gd 2.80-2.91, 2 O 3.09
S11 0.6469 0.5000 0.6469  4 Gd 2.80-2.91, 2 O 3.09
S12 0.8750 0.1250 0.7500  4 Gd 2.88, 8 O 3.20
O1 0.0792 0.5668 0.2308  1 Si 1.64
O2 0.0792 0.8484 0.5124  1 Si 1.64
O3 0.1486 0.3986 0.7500  2 Si 1.64
O4 0.1516 0.1639 0.2308  1 Si 1.64
O5 0.1516 0.9208 0.9876  1 Si 1.64
O6 0.1639 0.1516 0.7308  1 Si 1.64
O7 0.1639 0.4332 0.0124  1 Si 1.64
O8 0.1748 0.1944 0.5197  1 Si 1.66
O9 0.1748 0.6551 0.9803  1 Si 1.66
O10 0.1944 0.1748 0.0197  1 Si 1.66
O11 0.3449 0.8252 0.5197  1 Si 1.66
O12 0.3986 0.1486 0.2500  2 Si 1.64
O13 0.4332 0.1639 0.5124  1 Si 1.64
O14 0.4332 0.9208 0.2692  1 Si 1.64
O15 0.5668 0.0792 0.7308  1 Si 1.64
O16 0.5668 0.8361 0.4876  1 Si 1.64
O17 0.6014 0.8514 0.7500  2 Si 1.64
O18 0.6551 0.1748 0.4803  1 Si 1.66
O19 0.8056 0.8252 0.9803  1 Si 1.66
O20 0.8252 0.3449 0.0197  1 Si 1.66
O21 0.8252 0.8056 0.4803  1 Si 1.66
O22 0.8361 0.5668 0.9876  1 Si 1.64
O23 0.8361 0.8484 0.2692  1 Si 1.64
O24 0.8484 0.0792 0.0124  1 Si 1.64
O25 0.8484 0.8361 0.7692  1 Si 1.64
O26 0.8514 0.6014 0.2500  2 Si 1.64
O27 0.9208 0.1516 0.4876  1 Si 1.64
O28 0.9208 0.4332 0.7692  1 Si 1.64

Values from the calculation:
SG	No. 141

---

[8]
DFT (GGA-PBE) results for a relaxed GdSbO2 crystal.

Cell lengths 3.7763, 3.7763, 19.2389 Å; angles 90.00, 90.00, 120.00 degrees
Last column: nearest neighbours and their distance in Å.
Element x y z (fractional)
Gd1 0.0000 0.0000 0.0000  2 O 2.19
Gd2 0.3333 0.6667 0.6667  2 O 2.19
Gd3 0.6667 0.3333 0.3333  2 O 2.19
Sb1 0.0000 0.0000 0.5000  6 O 2.41
Sb2 0.3333 0.6667 0.1667  6 O 2.41
Sb3 0.6667 0.3333 0.8333  6 O 2.41
O1 0.0000 0.0000 0.1139  1 Gd 2.19, 3 Sb 2.41
O2 0.0000 0.0000 0.8861  1 Gd 2.19, 3 Sb 2.41
O3 0.3333 0.6667 0.5528  1 Gd 2.19, 3 Sb 2.41
O4 0.3333 0.6667 0.7806  1 Gd 2.19, 3 Sb 2.41
O5 0.6667 0.3333 0.2194  1 Gd 2.19, 3 Sb 2.41
O6 0.6667 0.3333 0.4472  1 Gd 2.19, 3 Sb 2.41

Values from the calculation:
SG	No. 166
D(E_F)	0.388	states/eV/atom

---

In order of appearance, energy relative to the elements, uncorrected = -2.544 -1.653 -1.219 -2.684 -2.604 -2.037 -2.844 -1.307 eV per atom.